(A)
Compound: ZnCd2InI
Source: Alexandria
Functional: GGA-PBE
Structure: optimized geometry

Properties
Calculated volume: 152 Å³ per cell

a b c (Å): 5.263 5.263 5.503
angles (deg): 90.00 90.00 90.00
Fractional coordinates of all 5 atoms:
Zn (0.000, 0.000, 0.000)
Cd (0.000, 0.500, 0.000)
Cd (0.500, 0.000, 0.000)
In (0.000, 0.000, 0.500)
I (0.500, 0.500, 0.500)



(B)
Compound: ZnCd2InI
Source: Alexandria
Functional: GGA-PBE
Structure: optimized geometry

Properties
Calculated volume: 199 Å³ per cell

a b c (Å): 5.654 5.654 6.213
angles (deg): 90.00 90.00 90.00
Fractional coordinates of all 5 atoms:
Zn (0.000, 0.000, 0.000)
Cd (0.000, 0.500, 0.500)
Cd (0.500, 0.000, 0.500)
In (0.500, 0.500, 0.500)
I (0.500, 0.500, 0.000)



Short version: (A) is the most stable of them.